Record 1
# Ca2LaAlS meta-GGA SCAN PBEsol geometry
data_Ca2LaAlS
_space_group_name_H-M_alt 'P 1'
_space_group_IT_number 1
_space_group_name_Hall 'P 1'
_cell_length_a 5.205
_cell_length_b 5.205
_cell_length_c 5.512
_cell_angle_alpha 90.00
_cell_angle_beta 90.00
_cell_angle_gamma 90.00
loop_
_atom_site_label
_atom_site_type_symbol
_atom_site_fract_x
_atom_site_fract_y
_atom_site_fract_z
La1 La 0.500 0.500 0.500
S1 S 0.000 0.000 0.000
Al1 Al 0.000 0.000 0.500
Ca1 Ca 0.500 0.000 0.000
Ca2 Ca 0.000 0.500 0.000
# Total magnetization = 0.00 μB per formula unit
# Density of states at the Fermi level = 0.534 states/eV/atom
# Total DFT energy (no corrections) = -82.169 eV/cell



Record 2
# LiCaAl meta-GGA SCAN PBEsol geometry
data_LiCaAl
_space_group_name_H-M_alt 'P 1'
_space_group_IT_number 1
_space_group_name_Hall 'P 1'
_cell_length_a 3.552
_cell_length_b 3.552
_cell_length_c 5.989
_cell_angle_alpha 107.25
_cell_angle_beta 107.25
_cell_angle_gamma 90.00
loop_
_atom_site_label
_atom_site_type_symbol
_atom_site_fract_x
_atom_site_fract_y
_atom_site_fract_z
Ca1 Ca 0.660 0.660 0.321
Al1 Al 0.976 0.976 0.951
Li1 Li 0.364 0.364 0.728
# Total magnetization = 0.00 μB per formula unit
# Energy of formation from the pure elements = -0.23 eV/f.u.
# Energy relative to the lowest polymorph listed for this composition = 19 meV/atom
# Density of states at the Fermi level = 0.391 states/eV/atom
# Total DFT energy (no corrections) = -20.037 eV/cell



Record 3
# LiCaAl meta-GGA SCAN PBEsol geometry
data_LiCaAl
_space_group_name_H-M_alt 'P 1'
_space_group_IT_number 1
_space_group_name_Hall 'P 1'
_cell_length_a 5.056
_cell_length_b 5.056
_cell_length_c 5.056
_cell_angle_alpha 60.00
_cell_angle_beta 60.00
_cell_angle_gamma 60.00
loop_
_atom_site_label
_atom_site_type_symbol
_atom_site_fract_x
_atom_site_fract_y
_atom_site_fract_z
Ca1 Ca 0.250 0.250 0.250
Li1 Li 0.000 0.000 0.000
Al1 Al 0.500 0.500 0.500
# Total magnetization = 0.01 μB per formula unit
# Energy of formation from the pure elements = 1.52 eV/f.u.
# Energy relative to the lowest polymorph listed for this composition = 605 meV/atom
# Density of states at the Fermi level = 1.146 states/eV/atom
# Total DFT energy (no corrections) = -18.281 eV/cell



Record 4
# LiCa2Al meta-GGA SCAN PBEsol geometry
data_LiCa2Al
_space_group_name_H-M_alt 'P 1'
_space_group_IT_number 1
_space_group_name_Hall 'P 1'
_cell_length_a 5.197
_cell_length_b 5.197
_cell_length_c 5.197
_cell_angle_alpha 60.00
_cell_angle_beta 60.00
_cell_angle_gamma 60.00
loop_
_atom_site_label
_atom_site_type_symbol
_atom_site_fract_x
_atom_site_fract_y
_atom_site_fract_z
Al1 Al 0.250 0.250 0.250
Ca1 Ca 0.000 0.000 0.000
Ca2 Ca 0.750 0.750 0.750
Li1 Li 0.500 0.500 0.500
# Total magnetization = 0.00 μB per formula unit
# Energy of formation from the pure elements = -0.22 eV/f.u.
# Density of states at the Fermi level = 0.138 states/eV/atom
# Total DFT energy (no corrections) = -29.688 eV/cell



Record 5
# LiCaAl4 meta-GGA SCAN PBEsol geometry
data_LiCaAl4
_space_group_name_H-M_alt 'P 1'
_space_group_IT_number 1
_space_group_name_Hall 'P 1'
_cell_length_a 5.508
_cell_length_b 5.508
_cell_length_c 5.508
_cell_angle_alpha 60.00
_cell_angle_beta 60.00
_cell_angle_gamma 60.00
loop_
_atom_site_label
_atom_site_type_symbol
_atom_site_fract_x
_atom_site_fract_y
_atom_site_fract_z
Al1 Al 0.375 0.375 0.375
Al2 Al 0.875 0.375 0.375
Al3 Al 0.375 0.875 0.375
Al4 Al 0.375 0.375 0.875
Ca1 Ca 0.750 0.750 0.750
Li1 Li 0.000 0.000 0.000
# Total magnetization = 0.26 μB per formula unit
# Energy of formation from the pure elements = -1.00 eV/f.u.
# Density of states at the Fermi level = 0.597 states/eV/atom
# Total DFT energy (no corrections) = -44.056 eV/cell



Record 6
# LiCa2Al meta-GGA SCAN PBEsol geometry
data_LiCa2Al
_space_group_name_H-M_alt 'P 1'
_space_group_IT_number 1
_space_group_name_Hall 'P 1'
_cell_length_a 3.603
_cell_length_b 5.418
_cell_length_c 6.184
_cell_angle_alpha 110.39
_cell_angle_beta 106.94
_cell_angle_gamma 90.00
loop_
_atom_site_label
_atom_site_type_symbol
_atom_site_fract_x
_atom_site_fract_y
_atom_site_fract_z
Ca1 Ca 0.970 0.948 0.939
Ca2 Ca 0.763 0.280 0.526
Li1 Li 0.541 0.519 0.082
Al1 Al 0.226 0.754 0.452
# Total magnetization = 0.14 μB per formula unit
# Energy of formation from the pure elements = -0.28 eV/f.u.
# Density of states at the Fermi level = 0.503 states/eV/atom
# Total DFT energy (no corrections) = -29.752 eV/cell